[1]
Entry from Alexandria: a PBEsol-optimized structure of SrCeScO4 (meta-GGA SCAN).

abc: 5.633 5.828 6.723
angles: 90.00 114.76 90.00
Fractional coordinates of all 14 atoms:
O 0.431 0.408 0.862
O 0.518 0.759 0.548
O 0.482 0.259 0.452
O 0.083 0.567 0.166
O 0.030 0.759 0.548
O 0.970 0.259 0.452
O 0.917 0.067 0.834
O 0.569 0.908 0.138
Sr 0.895 0.488 0.789
Sr 0.105 0.988 0.211
Sc 0.754 0.004 0.508
Sc 0.246 0.504 0.492
Ce 0.608 0.515 0.215
Ce 0.392 0.015 0.785

Summary:
Total magnetization   0.143 μB/atom
Space-group type   Cmc2_1
ΔE_f (raw)   -24.75 eV per formula unit
VASP energy   -261.5 eV for the cell shown
Crystal system   orthorhombic

[2]
Entry from Alexandria: a PBEsol-optimized structure of Li2CuSiO4 (meta-GGA SCAN).

abc: 4.851 5.427 6.126
angles: 90.00 91.01 90.00
Fractional coordinates of all 16 atoms:
O 0.400 0.388 0.247
O 0.399 0.820 0.025
O 0.899 0.180 0.525
O 0.404 0.814 0.470
O 0.347 0.322 0.746
O 0.900 0.612 0.747
O 0.904 0.186 0.970
O 0.847 0.678 0.246
Si 0.509 0.675 0.248
Si 0.009 0.325 0.748
Li 0.497 0.654 0.747
Li 0.002 0.828 0.501
Li 0.502 0.172 0.001
Li 0.997 0.346 0.247
Cu 0.490 0.164 0.483
Cu 0.990 0.836 0.983

Summary:
Excess energy over the best structure of this formula in the dataset   0.0277 eV per atom
Total magnetization   0.125 μB/atom
Space-group type   Pc
ΔE_f (raw)   -17.70 eV per formula unit
VASP energy   -145.2 eV for the cell shown
Crystal system   monoclinic

[3]
Entry from Alexandria: a PBEsol-optimized structure of NaTaSN2 (meta-GGA SCAN).

abc: 3.894 3.894 4.495
angles: 90.00 90.00 90.00
Fractional coordinates of all 5 atoms:
N 0.000 0.500 0.000
N 0.500 0.000 0.000
S 0.000 0.000 0.500
Ta 0.500 0.500 0.500
Na 0.000 0.000 0.000

Summary:
Total magnetization   0.423 μB/atom
Space-group type   P4/mmm
ΔE_f (raw)   9.54 eV per formula unit
VASP energy   -89.5 eV for the cell shown
Crystal system   tetragonal

[4]
Entry from Alexandria: a PBEsol-optimized structure of ZnTe3Pd (meta-GGA SCAN).

abc: 5.128 5.128 5.128
angles: 90.00 90.00 90.00
Fractional coordinates of all 5 atoms:
Zn 0.000 0.000 0.000
Te 0.000 0.000 0.500
Te 0.000 0.500 0.000
Te 0.500 0.000 0.000
Pd 0.500 0.500 0.500

Summary:
Total magnetization   0.000 μB/atom
Space-group type   Pm-3m
ΔE_f (raw)   3.71 eV per formula unit
VASP energy   -154.3 eV for the cell shown
Crystal system   cubic